(1)
Na3Er3PtO8 | PBE-GGA | relaxed

Properties
- VASP energy: -6.611 eV per atom
- Total moment: 0.00 μB/atom
- Energy relative to the elements, uncorrected: -2387 meV per atom
- DOS at the Fermi energy: 0.000 states/eV/atom
- Crystal system: trigonal

Unit cell a=6.7530 b=6.7530 c=6.7530 alpha=58.93 beta=58.93 gamma=58.93
Closest atoms and distances in Å follow each position.
Element x y z (fractional)
Na 0.0000 0.5000 0.5000  6 O 2.49-2.52
Na 0.5000 0.0000 0.5000  6 O 2.49-2.52
Na 0.5000 0.5000 0.0000  6 O 2.49-2.52
Er 0.0000 0.0000 0.5000  6 O 2.23-2.28
Er 0.0000 0.5000 0.0000  6 O 2.23-2.28
Er 0.5000 0.0000 0.0000  6 O 2.23-2.28
Pt 0.5000 0.5000 0.5000  6 O 2.11
O 0.2355 0.2355 0.2355  3 Er 2.23
O 0.2573 0.7223 0.7223  1 Pt 2.11, 2 Er 2.28
O 0.2777 0.2777 0.7427  1 Pt 2.11, 2 Er 2.28
O 0.2777 0.7427 0.2777  1 Pt 2.11, 2 Er 2.28
O 0.7223 0.2573 0.7223  1 Pt 2.11, 2 Er 2.28
O 0.7223 0.7223 0.2573  1 Pt 2.11, 2 Er 2.28
O 0.7427 0.2777 0.2777  1 Pt 2.11, 2 Er 2.28
O 0.7645 0.7645 0.7645  3 Er 2.23


(2)
CoCuRu | PBE-GGA | relaxed

Properties
- Formation energy from the elements: 0.215 eV/atom
- VASP energy: -6.611 eV per atom
- Polymorph energy (0 for the lowest one): 11 meV per atom
- Total moment: 0.31 μB/atom
- DOS at the Fermi energy: 1.198 states/eV/atom
- Crystal system: tetragonal

Unit cell a=2.6277 b=2.6277 c=10.7233 alpha=90.00 beta=90.00 gamma=90.00
Closest atoms and distances in Å follow each position.
Element x y z (fractional)
Co 0.0000 0.0000 0.0000  4 Ru 2.49, 4 Cu 2.56, 4 Co 2.63
Co 0.5000 0.5000 0.5000  4 Ru 2.49, 4 Cu 2.56, 4 Co 2.63
Cu 0.0000 0.0000 0.3361  4 Co 2.56, 4 Cu 2.63, 4 Ru 2.69
Cu 0.5000 0.5000 0.8361  4 Co 2.56, 4 Cu 2.63, 4 Ru 2.69
Ru 0.0000 0.0000 0.6550  4 Co 2.49, 4 Ru 2.63, 4 Cu 2.69
Ru 0.5000 0.5000 0.1550  4 Co 2.49, 4 Ru 2.63, 4 Cu 2.69


(3)
KMnB | PBE-GGA | relaxed

Properties
- Formation energy from the elements: 0.293 eV/atom
- VASP energy: -5.355 eV per atom
- Polymorph energy (0 for the lowest one): 0 meV per atom
- Total moment: 0.75 μB/atom
- DOS at the Fermi energy: 0.599 states/eV/atom
- Crystal system: triclinic

Unit cell a=3.0217 b=3.1524 c=11.7286 alpha=83.21 beta=89.25 gamma=90.00
Closest atoms and distances in Å follow each position.
Element x y z (fractional)
K 0.2353 0.3575 0.3213  4 K 3.02-3.15, 1 B 3.21
K 0.7647 0.6425 0.6787  4 K 3.02-3.15, 1 B 3.21
Mn 0.2542 0.0370 0.9162  6 B 2.18-2.23
Mn 0.7458 0.9630 0.0838  6 B 2.18-2.23
B 0.2477 0.4800 0.0455  2 B 1.85
B 0.7523 0.5200 0.9545  2 B 1.85


(4)
NdPuP | PBE-GGA | relaxed

Properties
- Formation energy from the elements: -0.614 eV/atom
- VASP energy: -8.784 eV per atom
- Total moment: 2.20 μB/atom
- DOS at the Fermi energy: 3.028 states/eV/atom
- Crystal system: cubic

Unit cell a=6.8365 b=6.8365 c=6.8365 alpha=90.00 beta=90.00 gamma=90.00
Closest atoms and distances in Å follow each position.
Element x y z (fractional)
Nd 0.0000 0.0000 0.0000  4 P 2.96
Nd 0.0000 0.5000 0.5000  4 P 2.96
Nd 0.5000 0.0000 0.5000  4 P 2.96
Nd 0.5000 0.5000 0.0000  4 P 2.96
Pu 0.0000 0.0000 0.5000  4 P 2.96
Pu 0.0000 0.5000 0.0000  4 P 2.96
Pu 0.5000 0.0000 0.0000  4 P 2.96
Pu 0.5000 0.5000 0.5000  4 P 2.96
P 0.2500 0.2500 0.7500  4 Nd 2.96, 4 Pu 2.96
P 0.2500 0.7500 0.2500  4 Nd 2.96, 4 Pu 2.96
P 0.7500 0.2500 0.2500  4 Nd 2.96, 4 Pu 2.96
P 0.7500 0.7500 0.7500  4 Nd 2.96, 4 Pu 2.96


(5)
HgSbSe2 | PBE-GGA | relaxed

Properties
- VASP energy: -2.662 eV per atom
- Polymorph energy (0 for the lowest one): 336 meV per atom
- Total moment: 0.00 μB/atom
- Energy relative to the elements, uncorrected: 186 meV per atom
- DOS at the Fermi energy: 0.641 states/eV/atom
- Crystal system: orthorhombic

Unit cell a=4.0974 b=4.7883 c=10.7907 alpha=90.00 beta=90.00 gamma=90.00
Closest atoms and distances in Å follow each position.
Element x y z (fractional)
Hg 0.0000 0.0000 0.0000  4 Se 3.12, 4 Sb 3.15
Hg 0.5000 0.5000 0.5000  4 Se 3.12, 4 Sb 3.15
Sb 0.0000 0.0000 0.5000  4 Se 2.87, 4 Hg 3.15
Sb 0.5000 0.5000 0.0000  4 Se 2.87, 4 Hg 3.15
Se 0.0000 0.5000 0.1859  2 Sb 2.87, 2 Hg 3.12
Se 0.0000 0.5000 0.8141  2 Sb 2.87, 2 Hg 3.12
Se 0.5000 0.0000 0.3141  2 Sb 2.87, 2 Hg 3.12
Se 0.5000 0.0000 0.6859  2 Sb 2.87, 2 Hg 3.12


(6)
Tb2Pm6Tm5 | PBE-GGA | relaxed

Properties
- Formation energy from the elements: 0.103 eV/atom
- VASP energy: -4.522 eV per atom
- Total moment: 0.00 μB/atom
- DOS at the Fermi energy: 1.191 states/eV/atom
- Crystal system: orthorhombic

Unit cell a=11.6736 b=20.3398 c=3.6065 alpha=90.00 beta=90.00 gamma=90.00
Closest atoms and distances in Å follow each position.
Element x y z (fractional)
Tb 0.1648 0.2121 0.0000  3 Pm 3.35-3.66, 6 Tm 3.53-3.69, 2 Tb 3.61
Tb 0.3352 0.7121 0.0000  3 Pm 3.35-3.66, 6 Tm 3.53-3.69, 2 Tb 3.61
Tb 0.6648 0.2879 0.0000  3 Pm 3.35-3.66, 6 Tm 3.53-3.69, 2 Tb 3.61
Tb 0.8352 0.7879 0.0000  3 Pm 3.35-3.66, 6 Tm 3.53-3.69, 2 Tb 3.61
Pm 0.0589 0.9207 0.0000  6 Tm 3.49-3.66, 5 Pm 3.51-3.76, 1 Tb 3.76
Pm 0.0823 0.6339 0.0000  1 Tb 3.35, 6 Tm 3.39-3.51, 4 Pm 3.49-3.61
Pm 0.1736 0.3686 0.5000  2 Tm 3.31-3.35, 4 Pm 3.49-3.61, 2 Tb 3.66
Pm 0.3264 0.8686 0.5000  2 Tm 3.31-3.35, 4 Pm 3.49-3.61, 2 Tb 3.66
Pm 0.4177 0.1339 0.0000  1 Tb 3.35, 6 Tm 3.39-3.51, 4 Pm 3.49-3.61
Pm 0.4411 0.4207 0.0000  6 Tm 3.49-3.66, 5 Pm 3.51-3.76, 1 Tb 3.76
Pm 0.5589 0.5793 0.0000  6 Tm 3.49-3.66, 5 Pm 3.51-3.76, 1 Tb 3.76
Pm 0.5823 0.8661 0.0000  1 Tb 3.35, 6 Tm 3.39-3.51, 4 Pm 3.49-3.61
Pm 0.6736 0.1314 0.5000  2 Tm 3.31-3.35, 4 Pm 3.49-3.61, 2 Tb 3.66
Pm 0.8264 0.6314 0.5000  2 Tm 3.31-3.35, 4 Pm 3.49-3.61, 2 Tb 3.66
Pm 0.9177 0.3661 0.0000  1 Tb 3.35, 6 Tm 3.39-3.51, 4 Pm 3.49-3.61
Pm 0.9411 0.0793 0.0000  6 Tm 3.49-3.66, 5 Pm 3.51-3.76, 1 Tb 3.76
Tm 0.0000 0.5000 0.5000  6 Pm 3.35-3.40, 4 Tm 3.61-3.69
Tm 0.0945 0.7751 0.5000  5 Pm 3.31-3.49, 4 Tb 3.53-3.58, 2 Tm 3.61
Tm 0.1990 0.0553 0.5000  6 Pm 3.51-3.66, 3 Tm 3.61-3.69, 2 Tb 3.69
Tm 0.3010 0.5553 0.5000  6 Pm 3.51-3.66, 3 Tm 3.61-3.69, 2 Tb 3.69
Tm 0.4055 0.2751 0.5000  5 Pm 3.31-3.49, 4 Tb 3.53-3.58, 2 Tm 3.61
Tm 0.5000 0.0000 0.5000  6 Pm 3.35-3.40, 4 Tm 3.61-3.69
Tm 0.5945 0.7249 0.5000  5 Pm 3.31-3.49, 4 Tb 3.53-3.58, 2 Tm 3.61
Tm 0.6990 0.4447 0.5000  6 Pm 3.51-3.66, 3 Tm 3.61-3.69, 2 Tb 3.69
Tm 0.8010 0.9447 0.5000  6 Pm 3.51-3.66, 3 Tm 3.61-3.69, 2 Tb 3.69
Tm 0.9055 0.2249 0.5000  5 Pm 3.31-3.49, 4 Tb 3.53-3.58, 2 Tm 3.61


(7)
DyLuSnAu | PBE-GGA | relaxed

Properties
- Formation energy from the elements: -0.690 eV/atom
- VASP energy: -4.791 eV per atom
- Total moment: 0.08 μB/atom
- DOS at the Fermi energy: 1.013 states/eV/atom
- Crystal system: cubic

Unit cell a=7.3113 b=7.3113 c=7.3113 alpha=90.00 beta=90.00 gamma=90.00
Closest atoms and distances in Å follow each position.
Element x y z (fractional)
Dy 0.0000 0.0000 0.0000  4 Sn 3.17, 4 Au 3.17
Dy 0.0000 0.5000 0.5000  4 Sn 3.17, 4 Au 3.17
Dy 0.5000 0.0000 0.5000  4 Sn 3.17, 4 Au 3.17
Dy 0.5000 0.5000 0.0000  4 Sn 3.17, 4 Au 3.17
Lu 0.0000 0.0000 0.5000  4 Sn 3.17, 4 Au 3.17
Lu 0.0000 0.5000 0.0000  4 Sn 3.17, 4 Au 3.17
Lu 0.5000 0.0000 0.0000  4 Sn 3.17, 4 Au 3.17
Lu 0.5000 0.5000 0.5000  4 Sn 3.17, 4 Au 3.17
Sn 0.2500 0.2500 0.2500  4 Dy 3.17, 4 Lu 3.17
Sn 0.2500 0.7500 0.7500  4 Dy 3.17, 4 Lu 3.17
Sn 0.7500 0.2500 0.7500  4 Dy 3.17, 4 Lu 3.17
Sn 0.7500 0.7500 0.2500  4 Dy 3.17, 4 Lu 3.17
Au 0.2500 0.2500 0.7500  4 Dy 3.17, 4 Lu 3.17
Au 0.2500 0.7500 0.2500  4 Dy 3.17, 4 Lu 3.17
Au 0.7500 0.2500 0.2500  4 Dy 3.17, 4 Lu 3.17
Au 0.7500 0.7500 0.7500  4 Dy 3.17, 4 Lu 3.17


(8)
NbPtSN2 | PBE-GGA | relaxed

Properties
- VASP energy: -6.673 eV per atom
- Polymorph energy (0 for the lowest one): 0 meV per atom
- Total moment: 0.25 μB/atom
- Energy relative to the elements, uncorrected: 705 meV per atom
- DOS at the Fermi energy: 0.749 states/eV/atom
- Crystal system: tetragonal

Unit cell a=3.9154 b=3.9154 c=5.3342 alpha=90.00 beta=90.00 gamma=90.00
Closest atoms and distances in Å follow each position.
Element x y z (fractional)
Nb 0.0000 0.0000 0.0000  4 N 1.96
Pt 0.5000 0.5000 0.5000  4 S 2.77
S 0.0000 0.0000 0.5000  2 Nb 2.67, 4 Pt 2.77
N 0.0000 0.5000 0.0000  2 Nb 1.96
N 0.5000 0.0000 0.0000  2 Nb 1.96


(9)
PtW2Br | PBE-GGA | relaxed

Properties
- VASP energy: -7.650 eV per atom
- Polymorph energy (0 for the lowest one): 350 meV per atom
- Total moment: 0.00 μB/atom
- Energy relative to the elements, uncorrected: 755 meV per atom
- DOS at the Fermi energy: 0.669 states/eV/atom
- Crystal system: orthorhombic

Unit cell a=2.8676 b=4.8173 c=9.6731 alpha=90.00 beta=90.00 gamma=90.00
Closest atoms and distances in Å follow each position.
Element x y z (fractional)
Pt 0.0000 0.0000 0.0000  6 W 2.77-2.80, 2 Pt 2.87, 2 Br 2.95
Pt 0.5000 0.5000 0.5000  6 W 2.77-2.80, 2 Pt 2.87, 2 Br 2.95
W 0.0000 0.0000 0.5062  2 Br 2.62, 4 Pt 2.80, 4 W 2.87-2.90
W 0.0000 0.5000 0.7453  2 Pt 2.77, 4 Br 2.81, 4 W 2.87-2.90
W 0.5000 0.0000 0.2453  2 Pt 2.77, 4 Br 2.81, 4 W 2.87-2.90
W 0.5000 0.5000 0.0062  2 Br 2.62, 4 Pt 2.80, 4 W 2.87-2.90
Br 0.0000 0.5000 0.2331  6 W 2.62-2.81, 2 Br 2.87
Br 0.5000 0.0000 0.7331  6 W 2.62-2.81, 2 Br 2.87


(10)
Cs2Ga2Sb2P | PBE-GGA | relaxed

Properties
- VASP energy: -3.307 eV per atom
- Total moment: 0.00 μB/atom
- Energy relative to the elements, uncorrected: -248 meV per atom
- DOS at the Fermi energy: 0.712 states/eV/atom
- Crystal system: monoclinic

Unit cell a=14.6349 b=4.2371 c=9.4513 alpha=90.00 beta=120.65 gamma=90.00
Closest atoms and distances in Å follow each position.
Element x y z (fractional)
Cs 0.0669 0.0000 0.3351  2 P 3.51
Cs 0.4331 0.5000 0.6649  2 P 3.51
Cs 0.5669 0.5000 0.3351  2 P 3.51
Cs 0.9331 0.0000 0.6649  2 P 3.51
Ga 0.1721 0.5000 0.0448  1 P 2.33
Ga 0.3279 0.0000 0.9552  1 P 2.33
Ga 0.6721 0.0000 0.0448  1 P 2.33
Ga 0.8279 0.5000 0.9552  1 P 2.33
Sb 0.2016 0.5000 0.7766  3 Ga 2.75-2.78
Sb 0.2984 0.0000 0.2234  3 Ga 2.75-2.78
Sb 0.7016 0.0000 0.7766  3 Ga 2.75-2.78
Sb 0.7984 0.5000 0.2234  3 Ga 2.75-2.78
P 0.0000 0.5000 0.0000  2 Ga 2.33
P 0.5000 0.0000 0.0000  2 Ga 2.33


- DOS at the Fermi energy of number 6 (Tb2Pm6Tm5)?
  1.191 states/eV/atom


Copy entry 10 word for word.
Cs2Ga2Sb2P | PBE-GGA | relaxed

Properties
- VASP energy: -3.307 eV per atom
- Total moment: 0.00 μB/atom
- Energy relative to the elements, uncorrected: -248 meV per atom
- DOS at the Fermi energy: 0.712 states/eV/atom
- Crystal system: monoclinic

Unit cell a=14.6349 b=4.2371 c=9.4513 alpha=90.00 beta=120.65 gamma=90.00
Closest atoms and distances in Å follow each position.
Element x y z (fractional)
Cs 0.0669 0.0000 0.3351  2 P 3.51
Cs 0.4331 0.5000 0.6649  2 P 3.51
Cs 0.5669 0.5000 0.3351  2 P 3.51
Cs 0.9331 0.0000 0.6649  2 P 3.51
Ga 0.1721 0.5000 0.0448  1 P 2.33
Ga 0.3279 0.0000 0.9552  1 P 2.33
Ga 0.6721 0.0000 0.0448  1 P 2.33
Ga 0.8279 0.5000 0.9552  1 P 2.33
Sb 0.2016 0.5000 0.7766  3 Ga 2.75-2.78
Sb 0.2984 0.0000 0.2234  3 Ga 2.75-2.78
Sb 0.7016 0.0000 0.7766  3 Ga 2.75-2.78
Sb 0.7984 0.5000 0.2234  3 Ga 2.75-2.78
P 0.0000 0.5000 0.0000  2 Ga 2.33
P 0.5000 0.0000 0.0000  2 Ga 2.33